1.
Density functional theory data (PBE) for a relaxed Na4TlIn2Pb2 crystal.

Results
Energy of formation from the pure elements   -75 kJ/mol of formula units
Size of the total moment   0.00 μB/atom
DOS at the Fermi energy   3.14 states/eV per cell

Geometry as extended XYZ:
```
9
Lattice="5.9251 0.9929 -0.7417 -0.0849 8.2688 0.4832 -3.6073 -4.2069 5.6660" Properties=species:S:1:pos:R:3 pbc="T T T"
Pb -0.2360 5.5229 2.9012
Pb 2.4689 -0.4681 2.5063
In -2.8010 1.0357 5.3801
In 5.0339 4.0191 0.0273
Na 2.8433 4.4582 2.3398
Na -0.2096 2.9657 5.3722
Na 2.4425 2.0891 0.0352
Na -0.6104 0.5966 3.0677
Tl 0.0000 0.0000 0.0000
```

---

2.
Density functional theory data (PBE) for a relaxed PmTlAs2O8 crystal.

Results
Formation energy (no corrections)   -1.64 eV/atom
Size of the total moment   0.00 μB/atom

Geometry as extended XYZ:
```
12
Lattice="6.0845 -0.0124 0.0000 -2.7097 5.4478 0.0000 -1.6874 -2.7177 5.1757" Properties=species:S:1:pos:R:3 pbc="T T T"
Tl -1.3549 2.7239 2.5879
O 4.4216 0.4720 1.6682
O 0.3067 2.2416 0.9218
O -0.1856 1.4485 4.2539
O 3.0680 3.1937 0.9218
O 2.8590 1.4422 3.5075
O 0.1856 -1.4485 4.2539
O 3.2254 -1.4546 3.5075
O 1.6629 -0.4844 1.6682
Pm 0.0000 0.0000 0.0000
As 3.0422 -0.0062 2.5879
As 1.6874 2.7177 0.0000
```